Compound: Be4Te
Source: Alexandria
Functional: PBE-GGA
Structure: optimized geometry

Lattice parameters (Å, degrees): 4.6799 4.6799 4.6799 90.00 90.00 90.00
Last column: nearest neighbours and their distance in Å.
Positions (direct):
Be 0.0000 0.0000 0.0000  12 Be 3.31
Be 0.5000 0.0000 0.5000  2 Te 2.34
Be 0.0000 0.5000 0.5000  2 Te 2.34
Be 0.5000 0.5000 0.0000  2 Te 2.34
Te 0.5000 0.5000 0.5000  6 Be 2.34

Results
Its density of states at the Fermi level is 0.393 states/eV/atom. As for the symmetry: No. 221. The distance to the lowest polymorph of the same formula is 5.98 eV per formula unit. Its total energy is -9.5 eV per cell. As for the formation energy (no corrections): 8.5 eV/f.u. The calculation puts the calculated volume at 102.5 Å³ per cell.

=====

Compound: BeTe
Source: Alexandria
Functional: PBE-GGA
Structure: optimized geometry

Lattice parameters (Å, degrees): 7.5909 7.5909 3.6010 90.00 90.00 154.39
Last column: nearest neighbours and their distance in Å.
Positions (direct):
Be 0.5516 0.4484 0.7500  2 Be 2.36
Be 0.4484 0.5516 0.2500  2 Be 2.36
Te 0.8822 0.1178 0.7500  4 Be 2.65
Te 0.1178 0.8822 0.2500  4 Be 2.65

Results
Its density of states at the Fermi level is 0.346 states/eV/atom. As for the symmetry: No. 63. The distance to the lowest polymorph of the same formula is 1.43 eV per formula unit. Its total energy is -12.3 eV per cell. As for the formation energy (no corrections): 0.7 eV/f.u. The calculation puts the calculated volume at 89.7 Å³ per cell.

=====

Compound: BeTe
Source: Alexandria
Functional: PBE-GGA
Structure: optimized geometry

Lattice parameters (Å, degrees): 4.0084 4.0084 4.0084 60.00 60.00 60.00
Last column: nearest neighbours and their distance in Å.
Positions (direct):
Be 0.0000 0.0000 0.0000  4 Te 2.45
Te 0.7500 0.7500 0.7500  4 Be 2.45

Results
Its density of states at the Fermi level is 0.000 states/eV/atom. As for the symmetry: No. 216. The distance to the lowest polymorph of the same formula is 0.00 eV per formula unit. Its total energy is -7.6 eV per cell. As for the formation energy (no corrections): -0.7 eV/f.u. The calculation puts the calculated volume at 45.5 Å³ per cell.

=====

Compound: BeTe
Source: Alexandria
Functional: PBE-GGA
Structure: optimized geometry

Lattice parameters (Å, degrees): 3.4197 3.6091 7.0868 90.00 90.00 90.00
Last column: nearest neighbours and their distance in Å.
Positions (direct):
Be 0.0000 0.0000 0.0623  2 Be 2.33
Be 0.0000 0.5000 0.2710  2 Be 2.33
Te 0.5000 0.0000 0.4046  6 Be 2.66-2.97
Te 0.5000 0.5000 0.9288  6 Be 2.66-2.97

Results
Its density of states at the Fermi level is 0.290 states/eV/atom. As for the symmetry: No. 51. The distance to the lowest polymorph of the same formula is 1.45 eV per formula unit. Its total energy is -12.3 eV per cell. As for the formation energy (no corrections): 0.7 eV/f.u. The calculation puts the calculated volume at 87.5 Å³ per cell.

=====

Compound: BeTe4
Source: Alexandria
Functional: PBE-GGA
Structure: optimized geometry

Lattice parameters (Å, degrees): 3.9441 3.9441 10.7040 90.00 90.00 120.00
Last column: nearest neighbours and their distance in Å.
Positions (direct):
Be 0.0000 0.0000 0.0000  6 Te 2.66
Te 0.6667 0.3333 0.1281  3 Be 2.66, 1 Te 2.84
Te 0.3333 0.6667 0.8719  3 Be 2.66, 1 Te 2.84
Te 0.6667 0.3333 0.3930  1 Te 2.84
Te 0.3333 0.6667 0.6070  1 Te 2.84

Results
Its density of states at the Fermi level is 0.311 states/eV/atom. As for the symmetry: No. 164. The distance to the lowest polymorph of the same formula is 0.00 eV per formula unit. Its total energy is -15.7 eV per cell. As for the formation energy (no corrections): 0.6 eV/f.u. The calculation puts the calculated volume at 144.2 Å³ per cell.

=====

Compound: BeTe
Source: Alexandria
Functional: PBE-GGA
Structure: optimized geometry

Lattice parameters (Å, degrees): 9.6353 9.6353 9.6353 158.62 158.62 30.42
Last column: nearest neighbours and their distance in Å.
Positions (direct):
Be 0.0000 0.0000 0.0000  4 Te 2.53
Be 0.2500 0.7500 0.5000  4 Te 2.53
Te 0.5000 0.5000 0.0000  4 Be 2.53
Te 0.7500 0.2500 0.5000  4 Be 2.53

Results
Its density of states at the Fermi level is 0.539 states/eV/atom. As for the symmetry: No. 141. The distance to the lowest polymorph of the same formula is 1.53 eV per formula unit. Its total energy is -12.1 eV per cell. As for the formation energy (no corrections): 0.8 eV/f.u. The calculation puts the calculated volume at 118.8 Å³ per cell.

=====

Compound: BeTe
Source: Alexandria
Functional: PBE-GGA
Structure: optimized geometry

Lattice parameters (Å, degrees): 11.1552 3.9268 6.6817 90.00 90.00 90.00
Last column: nearest neighbours and their distance in Å.
Positions (direct):
Be 0.7892 0.3212 0.6394  4 Te 2.42-2.57
Be 0.7108 0.6788 0.1394  4 Te 2.42-2.57
Be 0.2108 0.3212 0.6394  4 Te 2.42-2.57
Be 0.2892 0.6788 0.1394  4 Te 2.42-2.57
Be 0.0000 0.0779 0.4622  4 Te 2.47-2.55
Be 0.5000 0.9221 0.9622  4 Te 2.47-2.55
Te 0.8087 0.1721 0.2822  4 Be 2.42-2.48
Te 0.6913 0.8279 0.7822  4 Be 2.42-2.48
Te 0.1913 0.1721 0.2822  4 Be 2.42-2.48
Te 0.3087 0.8279 0.7822  4 Be 2.42-2.48
Te 0.0000 0.5645 0.6966  4 Be 2.47-2.57
Te 0.5000 0.4355 0.1966  4 Be 2.47-2.57

Results
As for the symmetry: No. 31. The distance to the lowest polymorph of the same formula is 0.42 eV per formula unit. Its total energy is -43.1 eV per cell. As for the formation energy (no corrections): -0.3 eV/f.u. The calculation puts the calculated volume at 292.7 Å³ per cell.

=====

Compound: Be4Te
Source: Alexandria
Functional: PBE-GGA
Structure: optimized geometry

Lattice parameters (Å, degrees): 4.2629 4.2629 4.3498 90.00 90.00 120.00
Last column: nearest neighbours and their distance in Å.
Positions (direct):
Be 0.6667 0.3333 0.8353  2 Be 2.09-2.26
Be 0.3333 0.6667 0.1647  2 Be 2.09-2.26
Be 0.6667 0.3333 0.3540  2 Be 2.09-2.26
Be 0.3333 0.6667 0.6460  2 Be 2.09-2.26
Te 0.0000 0.0000 0.0000  6 Be 2.56

Results
Its density of states at the Fermi level is 0.612 states/eV/atom. As for the symmetry: No. 164. The distance to the lowest polymorph of the same formula is 1.05 eV per formula unit. Its total energy is -14.4 eV per cell. As for the formation energy (no corrections): 3.6 eV/f.u. The calculation puts the calculated volume at 68.5 Å³ per cell.

=====

Compound: Be7Te5
Source: Alexandria
Functional: PBE-GGA
Structure: optimized geometry

Lattice parameters (Å, degrees): 6.8695 6.8695 6.8695 109.71 109.71 108.99
Last column: nearest neighbours and their distance in Å.
Positions (direct):
Be 0.3970 0.3970 0.0000  5 Te 2.44-2.65
Be 0.9378 0.4378 0.5000  4 Be 2.20-2.27
Be 0.4378 0.9378 0.5000  4 Be 2.20-2.27
Be 0.3111 0.6834 0.6277  2 Be 2.02-2.20
Be 0.0556 0.6834 0.3723  2 Be 2.02-2.20
Be 0.6834 0.3111 0.6277  2 Be 2.02-2.20
Be 0.6834 0.0556 0.3723  2 Be 2.02-2.20
Te 0.0919 0.0919 0.0000  1 Be 2.44
Te 0.7437 0.7437 0.4363  3 Be 2.46-2.65
Te 0.3073 0.3073 0.5637  3 Be 2.46-2.65
Te 0.3073 0.7437 0.0000  3 Be 2.46-2.65
Te 0.7437 0.3073 0.0000  3 Be 2.46-2.65

Results
Its density of states at the Fermi level is 0.196 states/eV/atom. As for the symmetry: No. 107. Its total energy is -37.7 eV per cell. As for the formation energy (no corrections): 4.1 eV/f.u. The calculation puts the calculated volume at 249.5 Å³ per cell.

=====

Compound: Be3Te4
Source: Alexandria
Functional: PBE-GGA
Structure: optimized geometry

Lattice parameters (Å, degrees): 5.2704 5.2704 5.2704 90.00 90.00 90.00
Last column: nearest neighbours and their distance in Å.
Positions (direct):
Be 0.0000 0.5000 0.0000  6 Te 2.64
Be 0.0000 0.0000 0.5000  6 Te 2.64
Be 0.5000 0.0000 0.0000  6 Te 2.64
Te 0.0000 0.0000 0.0000  6 Be 2.64
Te 0.0000 0.5000 0.5000  4 Be 2.64
Te 0.5000 0.0000 0.5000  4 Be 2.64
Te 0.5000 0.5000 0.0000  4 Be 2.64

Results
Its density of states at the Fermi level is 0.426 states/eV/atom. As for the symmetry: No. 221. The distance to the lowest polymorph of the same formula is 2.21 eV per formula unit. Its total energy is -22.5 eV per cell. As for the formation energy (no corrections): 1.2 eV/f.u. The calculation puts the calculated volume at 146.4 Å³ per cell.

=====

Compound: Be4Te5
Source: Alexandria
Functional: PBE-GGA
Structure: optimized geometry

Lattice parameters (Å, degrees): 7.5968 7.5968 7.5968 93.68 93.68 150.64
Last column: nearest neighbours and their distance in Å.
Positions (direct):
Be 0.5951 0.0000 0.5951  1 Be 1.98
Be 0.4049 0.0000 0.4049  1 Be 1.98
Be 0.0000 0.4049 0.4049  1 Be 1.98
Be 0.0000 0.5951 0.5951  1 Be 1.98
Te 0.0000 0.0000 0.0000  8 Te 3.22
Te 0.6758 0.3242 0.0000  4 Te 2.91-3.22
Te 0.3242 0.6758 0.0000  4 Te 2.91-3.22
Te 0.3242 0.3242 0.6485  4 Te 2.91-3.22
Te 0.6758 0.6758 0.3515  4 Te 2.91-3.22

Results
Its density of states at the Fermi level is 0.473 states/eV/atom. As for the symmetry: No. 139. The distance to the lowest polymorph of the same formula is 2.58 eV per formula unit. Its total energy is -24.2 eV per cell. As for the formation energy (no corrections): 6.4 eV/f.u. The calculation puts the calculated volume at 207.9 Å³ per cell.

=====

Compound: Be4Te5
Source: Alexandria
Functional: PBE-GGA
Structure: optimized geometry

Lattice parameters (Å, degrees): 7.6065 7.6065 7.5115 90.00 90.00 120.00
Last column: nearest neighbours and their distance in Å.
Positions (direct):
Be 0.0000 0.0000 0.0000  6 Te 2.67
Be 0.0000 0.0000 0.5000  6 Te 2.67
Be 0.0000 0.4245 0.2500  1 Te 2.48
Be 0.5755 0.5755 0.2500  1 Te 2.48
Be 0.4245 0.0000 0.2500  1 Te 2.48
Be 0.0000 0.5755 0.7500  1 Te 2.48
Be 0.4245 0.4245 0.7500  1 Te 2.48
Be 0.5755 0.0000 0.7500  1 Te 2.48
Te 0.0000 0.7505 0.2500  3 Be 2.48-2.67
Te 0.2495 0.2495 0.2500  3 Be 2.48-2.67
Te 0.7505 0.0000 0.2500  3 Be 2.48-2.67
Te 0.0000 0.2495 0.7500  3 Be 2.48-2.67
Te 0.7505 0.7505 0.7500  3 Be 2.48-2.67
Te 0.2495 0.0000 0.7500  3 Be 2.48-2.67
Te 0.6667 0.3333 0.0000  6 Be 2.95
Te 0.3333 0.6667 0.5000  6 Be 2.95
Te 0.3333 0.6667 0.0000  6 Be 2.95
Te 0.6667 0.3333 0.5000  6 Be 2.95

Results
Its density of states at the Fermi level is 0.580 states/eV/atom. As for the symmetry: No. 193. The distance to the lowest polymorph of the same formula is 0.00 eV per formula unit. Its total energy is -53.5 eV per cell. As for the formation energy (no corrections): 3.9 eV/f.u. The calculation puts the calculated volume at 376.4 Å³ per cell.

=====

Compound: BeTe
Source: Alexandria
Functional: PBE-GGA
Structure: optimized geometry

Lattice parameters (Å, degrees): 7.7039 7.7039 3.5878 90.00 90.00 153.10
Last column: nearest neighbours and their distance in Å.
Positions (direct):
Be 0.8056 0.1944 0.7500  5 Te 2.46-2.66
Be 0.1944 0.8056 0.2500  5 Te 2.46-2.66
Te 0.6413 0.3587 0.7500  5 Be 2.46-2.66
Te 0.3587 0.6413 0.2500  5 Be 2.46-2.66

Results
Its density of states at the Fermi level is 0.527 states/eV/atom. As for the symmetry: No. 63. The distance to the lowest polymorph of the same formula is 0.94 eV per formula unit. Its total energy is -13.3 eV per cell. As for the formation energy (no corrections): 0.2 eV/f.u. The calculation puts the calculated volume at 96.3 Å³ per cell.